Record 1
Material: MgZr2InC
Method: DFT, PBE
State: relaxed

a = 4.599 Å, b = 4.599 Å, c = 4.410 Å
α = 90.00°, β = 90.00°, γ = 90.00°
Fractional coordinates of all 5 atoms:
Mg (0.000, 0.000, 0.000)
Zr (0.000, 0.500, 0.500)
Zr (0.500, 0.000, 0.500)
In (0.500, 0.500, 0.000)
C (0.000, 0.000, 0.500)

**E_tot**: -6.467 eV per atom
**Theoretical density**: 5.938 g/cm³

=====

Record 2
Material: ZnCr3Ni12
Method: DFT, PBE
State: relaxed

a = 3.550 Å, b = 3.550 Å, c = 14.235 Å
α = 90.00°, β = 90.00°, γ = 90.00°
Fractional coordinates of all 16 atoms:
Zn (0.000, 0.000, 0.000)
Cr (0.000, 0.000, 0.249)
Cr (0.000, 0.000, 0.500)
Cr (0.000, 0.000, 0.751)
Ni (0.000, 0.500, 0.129)
Ni (0.000, 0.500, 0.375)
Ni (0.000, 0.500, 0.625)
Ni (0.000, 0.500, 0.871)
Ni (0.500, 0.000, 0.129)
Ni (0.500, 0.000, 0.375)
Ni (0.500, 0.000, 0.625)
Ni (0.500, 0.000, 0.871)
Ni (0.500, 0.500, 0.000)
Ni (0.500, 0.500, 0.251)
Ni (0.500, 0.500, 0.500)
Ni (0.500, 0.500, 0.749)

**E_tot**: -6.268 eV per atom
**Theoretical density**: 8.571 g/cm³

=====

Record 3
Material: CdHgAs2
Method: DFT, PBE
State: relaxed

a = 6.229 Å, b = 6.229 Å, c = 6.229 Å
α = 142.29°, β = 142.29°, γ = 54.39°
Fractional coordinates of all 4 atoms:
Cd (0.000, 0.000, 0.000)
Hg (0.500, 0.500, 0.000)
As (0.250, 0.750, 0.500)
As (0.750, 0.250, 0.500)

**Relative energy among the computed polymorphs**: 271 meV per atom
**Theoretical density**: 8.557 g/cm³

=====

Record 4
Material: Rb3PSe
Method: DFT, PBE
State: relaxed

a = 5.985 Å, b = 8.459 Å, c = 9.839 Å
α = 109.99°, β = 105.62°, γ = 94.60°
Fractional coordinates of all 10 atoms:
Rb (0.048, 0.222, 0.487)
Rb (0.320, 0.559, 0.165)
Rb (0.329, 0.021, 0.136)
Rb (0.671, 0.979, 0.864)
Rb (0.680, 0.441, 0.835)
Rb (0.952, 0.778, 0.513)
P (0.438, 0.606, 0.556)
P (0.562, 0.394, 0.444)
Se (0.174, 0.181, 0.839)
Se (0.826, 0.819, 0.161)

**Relative energy among the computed polymorphs**: 0 meV per atom
**Theoretical density**: 2.749 g/cm³

=====

Record 5
Material: ZrPa2Ti3N6
Method: DFT, PBE
State: relaxed

a = 7.245 Å, b = 7.245 Å, c = 6.489 Å
α = 102.28°, β = 102.28°, γ = 25.56°
Fractional coordinates of all 12 atoms:
Zr (0.000, 0.000, 0.000)
Pa (0.334, 0.334, 0.672)
Pa (0.666, 0.666, 0.328)
Ti (0.000, 0.000, 0.500)
Ti (0.343, 0.343, 0.173)
Ti (0.657, 0.657, 0.827)
N (0.157, 0.157, 0.603)
N (0.169, 0.169, 0.062)
N (0.496, 0.496, 0.260)
N (0.504, 0.504, 0.740)
N (0.831, 0.831, 0.938)
N (0.843, 0.843, 0.397)

**E_tot**: -10.010 eV per atom
**Theoretical density**: 9.042 g/cm³

=====

Record 6
Material: Ho6Pb2N
Method: DFT, PBE
State: relaxed

a = 8.128 Å, b = 8.128 Å, c = 5.641 Å
α = 110.14°, β = 110.14°, γ = 49.92°
Fractional coordinates of all 9 atoms:
Ho (0.134, 0.624, 0.380)
Ho (0.246, 0.754, 0.000)
Ho (0.376, 0.866, 0.620)
Ho (0.624, 0.134, 0.380)
Ho (0.754, 0.246, 0.000)
Ho (0.866, 0.376, 0.620)
Pb (0.190, 0.190, 0.188)
Pb (0.810, 0.810, 0.812)
N (0.500, 0.500, 0.500)

**E_tot**: -4.928 eV per atom
**Theoretical density**: 8.927 g/cm³

=====

Record 7
Material: Tb12HfTl3
Method: DFT, PBE
State: relaxed

a = 4.848 Å, b = 4.848 Å, c = 19.705 Å
α = 90.00°, β = 90.00°, γ = 90.00°
Fractional coordinates of all 16 atoms:
Tb (0.000, 0.000, 0.000)
Tb (0.000, 0.000, 0.249)
Tb (0.000, 0.000, 0.500)
Tb (0.000, 0.000, 0.751)
Tb (0.000, 0.500, 0.125)
Tb (0.000, 0.500, 0.378)
Tb (0.000, 0.500, 0.622)
Tb (0.000, 0.500, 0.875)
Tb (0.500, 0.000, 0.125)
Tb (0.500, 0.000, 0.378)
Tb (0.500, 0.000, 0.622)
Tb (0.500, 0.000, 0.875)
Hf (0.500, 0.500, 0.500)
Tl (0.500, 0.500, 0.000)
Tl (0.500, 0.500, 0.246)
Tl (0.500, 0.500, 0.754)

**E_tot**: -4.650 eV per atom
**Theoretical density**: 9.675 g/cm³

=====

Record 8
Material: Te2Pd8Se
Method: DFT, PBE
State: relaxed

a = 7.370 Å, b = 7.370 Å, c = 7.188 Å
α = 118.65°, β = 118.65°, γ = 34.60°
Fractional coordinates of all 11 atoms:
Te (0.171, 0.171, 0.167)
Te (0.829, 0.829, 0.833)
Pd (0.046, 0.046, 0.360)
Pd (0.192, 0.192, 0.821)
Pd (0.322, 0.322, 0.601)
Pd (0.430, 0.430, 0.088)
Pd (0.570, 0.570, 0.912)
Pd (0.678, 0.678, 0.399)
Pd (0.808, 0.808, 0.179)
Pd (0.954, 0.954, 0.640)
Se (0.500, 0.500, 0.500)

**Relative energy among the computed polymorphs**: 0 meV per atom
**Theoretical density**: 10.267 g/cm³

=====

Record 9
Material: Dy8Bi4Te3
Method: DFT, PBE
State: relaxed

a = 8.754 Å, b = 8.754 Å, c = 8.717 Å
α = 119.79°, β = 119.79°, γ = 90.08°
Fractional coordinates of all 15 atoms:
Dy (0.244, 0.244, 0.001)
Dy (0.246, 0.754, 0.000)
Dy (0.248, 0.248, 0.496)
Dy (0.249, 0.751, 0.500)
Dy (0.751, 0.249, 0.500)
Dy (0.752, 0.752, 0.504)
Dy (0.754, 0.246, 0.000)
Dy (0.756, 0.756, 0.999)
Bi (0.000, 0.000, 0.500)
Bi (0.000, 0.500, 0.000)
Bi (0.500, 0.000, 0.000)
Bi (0.500, 0.500, 0.000)
Te (0.000, 0.500, 0.500)
Te (0.500, 0.000, 0.500)
Te (0.500, 0.500, 0.500)

**E_tot**: -5.035 eV per atom
**Theoretical density**: 8.804 g/cm³

=====

Record 10
Material: NdTmCoHg
Method: DFT, PBE
State: relaxed

a = 5.084 Å, b = 5.084 Å, c = 5.084 Å
α = 60.00°, β = 60.00°, γ = 60.00°
Fractional coordinates of all 4 atoms:
Nd (0.000, 0.000, 0.000)
Tm (0.500, 0.500, 0.500)
Co (0.250, 0.250, 0.250)
Hg (0.750, 0.750, 0.750)

**E_tot**: -4.337 eV per atom
**Theoretical density**: 10.237 g/cm³

=====

Record 11
Material: IrPb2I2
Method: DFT, PBE
State: relaxed

a = 8.097 Å, b = 8.097 Å, c = 8.097 Å
α = 143.94°, β = 143.94°, γ = 51.92°
Fractional coordinates of all 5 atoms:
Ir (0.000, 0.000, 0.000)
Pb (0.391, 0.391, 0.000)
Pb (0.609, 0.609, 0.000)
I (0.250, 0.750, 0.500)
I (0.750, 0.250, 0.500)

**Relative energy among the computed polymorphs**: 669 meV per atom
**Theoretical density**: 7.810 g/cm³

=====

Record 12
Material: ThZr2Bi3
Method: DFT, PBE
State: relaxed

a = 4.194 Å, b = 11.623 Å, c = 7.278 Å
α = 90.00°, β = 90.00°, γ = 90.00°
Fractional coordinates of all 12 atoms:
Th (0.000, 0.117, 0.000)
Th (0.000, 0.883, 0.500)
Zr (0.000, 0.224, 0.484)
Zr (0.000, 0.776, 0.984)
Zr (0.500, 0.474, 0.502)
Zr (0.500, 0.526, 0.002)
Bi (0.000, 0.389, 0.787)
Bi (0.000, 0.611, 0.287)
Bi (0.500, 0.074, 0.661)
Bi (0.500, 0.293, 0.205)
Bi (0.500, 0.707, 0.705)
Bi (0.500, 0.926, 0.161)

**E_tot**: -6.358 eV per atom
**Theoretical density**: 9.750 g/cm³

=====

- Which of these has the lowest theoretical density?
  Rb3PSe

=====

- Among the records above, which one has the lowest theoretical density?
  Rb3PSe